# Pr11Y4Ho9, optimized geometry, DFT PBE-GGA
data_Pr11Y4Ho9
_symmetry_space_group_name_H-M 'C m m m'
_symmetry_Int_Tables_number 65
_symmetry_space_group_name_Hall '-C 2 2'
_cell_length_a 17.097
_cell_length_b 25.944
_cell_length_c 3.676
_cell_angle_alpha 90.00
_cell_angle_beta 90.00
_cell_angle_gamma 90.00
loop_
_atom_site_label
_atom_site_type_symbol
_atom_site_fract_x
_atom_site_fract_y
_atom_site_fract_z
_atom_site_occupancy
Pr1 Pr 0.000 0.000 0.000 1
Pr2 Pr 0.000 0.161 0.000 1
Pr3 Pr 0.000 0.368 0.000 1
Pr4 Pr 0.209 0.500 0.000 1
Pr5 Pr 0.222 0.181 0.000 1
Y1 Y 0.158 0.398 0.500 1
Ho1 Ho 0.000 0.500 0.500 1
Ho2 Ho 0.102 0.268 0.500 1
Ho3 Ho 0.140 0.073 0.500 1
# Uncorrected energy = -4.92 eV per atom
# Size of the total moment = 0.00 μB per cell
# ΔH_f (0 K) = 0.063 eV per atom
# Fermi-level density of states = 1.270 states/eV per atom

***

# Pr2Y2Ho, optimized geometry, DFT PBE-GGA
data_Pr2Y2Ho
_symmetry_space_group_name_H-M 'I m m a'
_symmetry_Int_Tables_number 74
_symmetry_space_group_name_Hall '-I 2b 2'
_cell_length_a 3.688
_cell_length_b 5.789
_cell_length_c 31.913
_cell_angle_alpha 90.00
_cell_angle_beta 90.00
_cell_angle_gamma 90.00
loop_
_atom_site_label
_atom_site_type_symbol
_atom_site_fract_x
_atom_site_fract_y
_atom_site_fract_z
_atom_site_occupancy
Pr1 Pr 0.000 0.250 0.022 1
Pr2 Pr 0.000 0.250 0.121 1
Y1 Y 0.000 0.250 0.291 1
Y2 Y 0.000 0.250 0.804 1
Ho1 Ho 0.000 0.250 0.582 1
# Uncorrected energy = -5.28 eV per atom
# Size of the total moment = 0.00 μB per cell
# ΔH_f (0 K) = 0.135 eV per atom
# Fermi-level density of states = 1.456 states/eV per atom

***

# PrY8Ho3, optimized geometry, DFT PBE-GGA
data_PrY8Ho3
_symmetry_space_group_name_H-M 'I m m 2'
_symmetry_Int_Tables_number 44
_cell_length_a 10.947
_cell_length_b 11.347
_cell_length_c 6.320
_cell_angle_alpha 90.00
_cell_angle_beta 90.00
_cell_angle_gamma 90.00
loop_
_symmetry_equiv_pos_as_xyz
'x,y,z'
'-x,-y,z'
'-x,y,z'
'x,-y,z'
'x+1/2,y+1/2,z+1/2'
'-x+1/2,-y+1/2,z+1/2'
'-x+1/2,y+1/2,z+1/2'
'x+1/2,-y+1/2,z+1/2'
loop_
_atom_site_label
_atom_site_type_symbol
_atom_site_fract_x
_atom_site_fract_y
_atom_site_fract_z
_atom_site_occupancy
Pr1 Pr 0.000 0.000 0.000 1
Y1 Y 0.164 0.500 0.496 1
Y2 Y 0.166 0.252 0.831 1
Y3 Y 0.167 0.000 0.497 1
Ho1 Ho 0.000 0.252 0.328 1
Ho2 Ho 0.000 0.500 0.000 1
# Uncorrected energy = -5.85 eV per atom
# Size of the total moment = 0.00 μB per cell
# ΔH_f (0 K) = 0.006 eV per atom
# Fermi-level density of states = 1.904 states/eV per atom

***

# Pr3Y8Ho3, optimized geometry, DFT PBE-GGA
data_Pr3Y8Ho3
_symmetry_space_group_name_H-M 'I m m m'
_symmetry_Int_Tables_number 71
_symmetry_space_group_name_Hall '-I 2 2'
_cell_length_a 5.692
_cell_length_b 10.740
_cell_length_c 15.289
_cell_angle_alpha 90.00
_cell_angle_beta 90.00
_cell_angle_gamma 90.00
loop_
_atom_site_label
_atom_site_type_symbol
_atom_site_fract_x
_atom_site_fract_y
_atom_site_fract_z
_atom_site_occupancy
Pr1 Pr 0.000 0.000 0.000 1
Pr2 Pr 0.000 0.309 0.000 1
Y1 Y 0.000 0.159 0.222 1
Y2 Y 0.000 0.339 0.397 1
Ho1 Ho 0.000 0.000 0.500 1
Ho2 Ho 0.000 0.500 0.188 1
# Uncorrected energy = -5.57 eV per atom
# Size of the total moment = 0.00 μB per cell
# ΔH_f (0 K) = 0.133 eV per atom
# Fermi-level density of states = 1.779 states/eV per atom

***

# PrYHo5, optimized geometry, DFT PBE-GGA
data_PrYHo5
_symmetry_space_group_name_H-M 'P 1 21/m 1'
_symmetry_Int_Tables_number 11
_cell_length_a 9.021
_cell_length_b 3.594
_cell_length_c 14.257
_cell_angle_alpha 90.00
_cell_angle_beta 102.34
_cell_angle_gamma 90.00
loop_
_symmetry_equiv_pos_as_xyz
'x,y,z'
'-x,-y,-z'
'-x,y+1/2,-z'
'x,-y+1/2,z'
loop_
_atom_site_label
_atom_site_type_symbol
_atom_site_fract_x
_atom_site_fract_y
_atom_site_fract_z
_atom_site_occupancy
Pr1 Pr 0.182 0.250 0.163 1
Y1 Y 0.424 0.750 0.383 1
Ho1 Ho 0.020 0.750 0.314 1
Ho2 Ho 0.168 0.250 0.920 1
Ho3 Ho 0.182 0.250 0.513 1
Ho4 Ho 0.308 0.750 0.731 1
Ho5 Ho 0.459 0.750 0.091 1
# Uncorrected energy = -4.83 eV per atom
# Size of the total moment = 0.00 μB per cell
# ΔH_f (0 K) = 0.051 eV per atom
# Fermi-level density of states = 1.399 states/eV per atom

***

# Pr7Y2Ho3, optimized geometry, DFT PBE-GGA
data_Pr7Y2Ho3
_symmetry_space_group_name_H-M 'P 1 2/m 1'
_symmetry_Int_Tables_number 10
_cell_length_a 5.927
_cell_length_b 3.645
_cell_length_c 19.248
_cell_angle_alpha 90.00
_cell_angle_beta 93.92
_cell_angle_gamma 90.00
loop_
_symmetry_equiv_pos_as_xyz
'x,y,z'
'-x,-y,-z'
'-x,y,-z'
'x,-y,z'
loop_
_atom_site_label
_atom_site_type_symbol
_atom_site_fract_x
_atom_site_fract_y
_atom_site_fract_z
_atom_site_occupancy
Pr1 Pr 0.000 0.000 0.000 1
Pr2 Pr 0.175 0.500 0.184 1
Pr3 Pr 0.258 0.500 0.534 1
Pr4 Pr 0.328 0.000 0.855 1
Y1 Y 0.296 0.500 0.702 1
Ho1 Ho 0.216 0.000 0.368 1
Ho2 Ho 0.500 0.500 0.000 1
# Uncorrected energy = -4.92 eV per atom
# Size of the total moment = 0.00 μB per cell
# ΔH_f (0 K) = 0.094 eV per atom
# Fermi-level density of states = 1.470 states/eV per atom

***

# Pr2YHo7, optimized geometry, DFT PBE-GGA
data_Pr2YHo7
_symmetry_space_group_name_H-M 'C m m m'
_symmetry_Int_Tables_number 65
_symmetry_space_group_name_Hall '-C 2 2'
_cell_length_a 6.504
_cell_length_b 28.866
_cell_length_c 3.523
_cell_angle_alpha 90.00
_cell_angle_beta 90.00
_cell_angle_gamma 90.00
loop_
_atom_site_label
_atom_site_type_symbol
_atom_site_fract_x
_atom_site_fract_y
_atom_site_fract_z
_atom_site_occupancy
Pr1 Pr 0.000 0.208 0.000 1
Y1 Y 0.000 0.500 0.500 1
Ho1 Ho 0.000 0.000 0.000 1
Ho2 Ho 0.000 0.316 0.500 1
Ho3 Ho 0.246 0.402 0.000 1
# Uncorrected energy = -4.65 eV per atom
# Size of the total moment = 0.00 μB per cell
# ΔH_f (0 K) = 0.153 eV per atom
# Fermi-level density of states = 1.526 states/eV per atom

***

# Pr2YHo9, optimized geometry, DFT PBE-GGA
data_Pr2YHo9
_symmetry_space_group_name_H-M 'P 4/m m m'
_symmetry_Int_Tables_number 123
_symmetry_space_group_name_Hall '-P 4 2'
_cell_length_a 5.037
_cell_length_b 5.037
_cell_length_c 15.107
_cell_angle_alpha 90.00
_cell_angle_beta 90.00
_cell_angle_gamma 90.00
loop_
_atom_site_label
_atom_site_type_symbol
_atom_site_fract_x
_atom_site_fract_y
_atom_site_fract_z
_atom_site_occupancy
Pr1 Pr 0.000 0.000 0.167 1
Y1 Y 0.000 0.000 0.500 1
Ho1 Ho 0.000 0.500 0.000 1
Ho2 Ho 0.000 0.500 0.335 1
Ho3 Ho 0.500 0.500 0.168 1
Ho4 Ho 0.500 0.500 0.500 1
# Uncorrected energy = -4.74 eV per atom
# Size of the total moment = 0.00 μB per cell
# ΔH_f (0 K) = 0.025 eV per atom
# Fermi-level density of states = 1.432 states/eV per atom